First-principles (PBE) data for crystalline Mg3C2 at its relaxed geometry, as listed in the Alexandria database.

a b c (Å): 3.3426 3.3426 23.8575
angles (deg): 90.00 90.00 120.00
Space group R-3m (No. 166, hexagonal axes)
Unique sites:
Mg 0.0000 0.0000 0.0000 [3 per cell]
Mg 0.0000 0.0000 0.2316 [6 per cell]
C 0.0000 0.0000 0.3940 [6 per cell]

Relative energy among the computed polymorphs (kJ/mol of atoms): 13.4
Calculated formation energy (eV/atom): 0.84

***

First-principles (PBE) data for crystalline SmHoCdCu at its relaxed geometry, as listed in the Alexandria database.

a b c (Å): 7.299 7.299 7.299
angles (deg): 90.00 90.00 90.00
Space group F-43m (No. 216)
Unique sites:
Sm 0.000 0.000 0.000 [4 per cell]
Ho 0.000 0.000 0.500 [4 per cell]
Cd 0.250 0.250 0.750 [4 per cell]
Cu 0.250 0.250 0.250 [4 per cell]

Calculated formation energy (eV/atom): -0.21

***

First-principles (PBE) data for crystalline SiTe at its relaxed geometry, as listed in the Alexandria database.

a b c (Å): 4.9769 4.9769 5.9893
angles (deg): 90.00 90.00 120.00
Space group P6_3mc (No. 186)
Unique sites:
Si 0.3333 0.6667 0.0000 [2 per cell]
Te 0.3333 0.6667 0.4510 [2 per cell]

Energy relative to the elements, uncorrected (meV per atom): 385

***

First-principles (PBE) data for crystalline Fe2PbCl at its relaxed geometry, as listed in the Alexandria database.

a b c (Å): 3.088 3.304 6.841
angles (deg): 90.00 90.00 90.00
Space group Pmmm (No. 47)
Unique sites:
Fe 0.000 0.000 0.202 [2 per cell]
Pb 0.500 0.500 0.500 [1 per cell]
Cl 0.500 0.500 0.000 [1 per cell]

Relative energy among the computed polymorphs (kJ/mol of atoms): 50.8
Energy relative to the elements, uncorrected (meV per atom): 591

***

First-principles (PBE) data for crystalline MgGeAs2 at its relaxed geometry, as listed in the Alexandria database.

a b c (Å): 6.022 6.022 11.273
angles (deg): 90.00 90.00 90.00
Space group I-42d (No. 122)
Unique sites:
Mg 0.000 0.000 0.000 [4 per cell]
Ge 0.000 0.000 0.500 [4 per cell]
As 0.227 0.250 0.625 [8 per cell]

Relative energy among the computed polymorphs (kJ/mol of atoms): 0.0
Calculated formation energy (eV/atom): -0.27

***

First-principles (PBE) data for crystalline Er4Pb2C at its relaxed geometry, as listed in the Alexandria database.

a b c (Å): 4.780 4.780 15.951
angles (deg): 90.00 90.00 90.00
Space group I4/mmm (No. 139)
Unique sites:
Er 0.000 0.000 0.156 [4 per cell]
Er 0.000 0.500 0.000 [4 per cell]
Pb 0.000 0.000 0.357 [4 per cell]
C 0.000 0.000 0.000 [2 per cell]

Relative energy among the computed polymorphs (kJ/mol of atoms): 0.0
Calculated formation energy (eV/atom): -0.56

***

First-principles (PBE) data for crystalline Ca2EuSn at its relaxed geometry, as listed in the Alexandria database.

a b c (Å): 8.009 8.009 8.009
angles (deg): 90.00 90.00 90.00
Space group Fm-3m (No. 225)
Unique sites:
Ca 0.250 0.250 0.250 [8 per cell]
Eu 0.000 0.000 0.000 [4 per cell]
Sn 0.000 0.000 0.500 [4 per cell]

Relative energy among the computed polymorphs (kJ/mol of atoms): 14.0
Calculated formation energy (eV/atom): -0.28

***

First-principles (PBE) data for crystalline Ba6Na at its relaxed geometry, as listed in the Alexandria database.

a b c (Å): 9.770 9.770 9.770
angles (deg): 90.00 90.00 90.00
Space group Im-3m (No. 229)
Unique sites:
Ba 0.000 0.250 0.500 [12 per cell]
Na 0.000 0.000 0.000 [2 per cell]

Relative energy among the computed polymorphs (kJ/mol of atoms): 83.8
Calculated formation energy (eV/atom): 0.89

***

First-principles (PBE) data for crystalline TmZrFePt at its relaxed geometry, as listed in the Alexandria database.

a b c (Å): 6.673 6.673 6.673
angles (deg): 90.00 90.00 90.00
Space group F-43m (No. 216)
Unique sites:
Tm 0.000 0.000 0.000 [4 per cell]
Zr 0.000 0.000 0.500 [4 per cell]
Fe 0.250 0.250 0.250 [4 per cell]
Pt 0.250 0.250 0.750 [4 per cell]

Calculated formation energy (eV/atom): -0.55

***

First-principles (PBE) data for crystalline Mg3ScPb at its relaxed geometry, as listed in the Alexandria database.

a b c (Å): 5.375 5.375 5.375
angles (deg): 90.00 90.00 90.00
Space group Pm-3m (No. 221)
Unique sites:
Mg 0.000 0.000 0.500 [3 per cell]
Sc 0.500 0.500 0.500 [1 per cell]
Pb 0.000 0.000 0.000 [1 per cell]

Relative energy among the computed polymorphs (kJ/mol of atoms): 0.0
Calculated formation energy (eV/atom): 0.56

***

First-principles (PBE) data for crystalline KNa2Au at its relaxed geometry, as listed in the Alexandria database.

a b c (Å): 5.1015 5.1015 18.0412
angles (deg): 90.00 90.00 120.00
Space group R-3m (No. 166, hexagonal axes)
Unique sites:
K 0.0000 0.0000 0.0000 [3 per cell]
Na 0.0000 0.0000 0.2108 [6 per cell]
Au 0.0000 0.0000 0.5000 [3 per cell]

Relative energy among the computed polymorphs (kJ/mol of atoms): 7.0
Calculated formation energy (eV/atom): -0.13

***

First-principles (PBE) data for crystalline Ba6Zn2Hg at its relaxed geometry, as listed in the Alexandria database.

a b c (Å): 11.446 11.759 11.828
angles (deg): 90.00 90.00 90.00
Space group Immm (No. 71)
Unique sites:
Ba 0.000 0.245 0.183 [8 per cell]
Ba 0.190 0.331 0.500 [8 per cell]
Ba 0.239 0.000 0.329 [8 per cell]
Zn 0.000 0.107 0.500 [4 per cell]
Zn 0.000 0.500 0.341 [4 per cell]
Hg 0.000 0.000 0.000 [2 per cell]
Hg 0.000 0.500 0.000 [2 per cell]

Calculated formation energy (eV/atom): -0.17